KIn3Hg8 | PBE | optimized geometry

Computed properties:
DOS at the Fermi energy: 3.24 states/eV/cell
Mass density: 9.67 g/cm³
Energy of formation from the pure elements: -0.07 eV per atom

Cell: 5.8623 7.2836 9.0325 Å, 84.49 102.65 114.81°
Positions (direct):
Hg: 0.5495 0.9851 0.2202
Hg: 0.6856 0.3727 0.0061
Hg: 0.8185 0.6373 0.2853
Hg: 0.1802 0.3823 0.2889
Hg: 0.4505 0.0149 0.7798
Hg: 0.8198 0.6177 0.7111
Hg: 0.1815 0.3627 0.7147
In: 0.3757 0.7420 0.5128
Hg: 0.3144 0.6273 0.9939
In: 0.0000 0.0000 0.5000
In: 0.6243 0.2580 0.4872
K: 0.0000 0.0000 0.0000